Entry 1:
Entry from Alexandria via LeMat-Bulk: a relaxed LiMn3Cl crystal (PBE).

Lattice parameters (Å, degrees): 4.560 4.560 4.560 90.00 90.00 90.00
Fractional positions:
Li  0.000  0.000  0.000
Mn  0.000  0.000  0.500
Mn  0.000  0.500  0.000
Mn  0.500  0.000  0.000
Cl  0.500  0.500  0.500

## Properties
DOS(E_F): 2.30 states/eV/cell
Formation energy without anion corrections: 0.978 eV/atom
Relative energy among the computed polymorphs: 0.317 eV per atom
Space group: Pm-3m



Entry 2:
Entry from Alexandria via LeMat-Bulk: a relaxed Pm15NdSc4 crystal (PBE).

Lattice parameters (Å, degrees): 5.055 5.055 25.223 90.00 90.00 90.00
Fractional positions:
Pm  0.000  0.000  0.000
Pm  0.000  0.000  0.204
Pm  0.000  0.000  0.401
Pm  0.000  0.000  0.599
Pm  0.000  0.000  0.796
Pm  0.000  0.500  0.105
Pm  0.000  0.500  0.302
Pm  0.000  0.500  0.500
Pm  0.000  0.500  0.698
Pm  0.000  0.500  0.895
Pm  0.500  0.000  0.105
Pm  0.500  0.000  0.302
Pm  0.500  0.000  0.500
Pm  0.500  0.000  0.698
Pm  0.500  0.000  0.895
Nd  0.500  0.500  0.000
Sc  0.500  0.500  0.204
Sc  0.500  0.500  0.401
Sc  0.500  0.500  0.599
Sc  0.500  0.500  0.796

## Properties
DOS(E_F): 26.22 states/eV/cell
Space group: P4/mmm



Entry 3:
Entry from Alexandria via LeMat-Bulk: a relaxed NdSc2Co crystal (PBE).

Lattice parameters (Å, degrees): 3.240 3.240 8.439 90.00 90.00 90.00
Fractional positions:
Nd  0.000  0.000  0.000
Sc  0.500  0.500  0.324
Sc  0.500  0.500  0.676
Co  0.000  0.000  0.500

## Properties
DOS(E_F): 4.07 states/eV/cell
Relative energy among the computed polymorphs: 0.003 eV per atom
Space group: P4/mmm



Entry 4:
Entry from Alexandria via LeMat-Bulk: a relaxed EuHoTl2 crystal (PBE).

Lattice parameters (Å, degrees): 3.876 3.876 7.762 90.00 90.00 90.00
Fractional positions:
Eu  0.000  0.000  0.000
Ho  0.000  0.000  0.500
Tl  0.500  0.500  0.269
Tl  0.500  0.500  0.731

## Properties
DOS(E_F): 8.87 states/eV/cell
Relative energy among the computed polymorphs: 0.000 eV per atom
Space group: P4/mmm



Entry 5:
Entry from Alexandria via LeMat-Bulk: a relaxed LiCaNi10 crystal (PBE).

Lattice parameters (Å, degrees): 3.965 4.801 8.353 90.00 90.00 90.00
Fractional positions:
Li  0.000  0.000  0.000
Ca  0.000  0.500  0.500
Ni  0.000  0.000  0.317
Ni  0.000  0.000  0.683
Ni  0.000  0.500  0.156
Ni  0.000  0.500  0.844
Ni  0.500  0.000  0.500
Ni  0.500  0.249  0.245
Ni  0.500  0.249  0.755
Ni  0.500  0.500  0.000
Ni  0.500  0.751  0.245
Ni  0.500  0.751  0.755

## Properties
DOS(E_F): 17.96 states/eV/cell
Space group: Pmmm



Entry 6:
Entry from Alexandria via LeMat-Bulk: a relaxed SmHo5Er8 crystal (PBE).

Lattice parameters (Å, degrees): 8.361 8.361 8.361 111.25 111.25 105.96
Fractional positions:
Sm  0.000  0.000  0.000
Ho  0.035  0.212  0.597
Ho  0.250  0.750  0.500
Ho  0.562  0.965  0.177
Ho  0.615  0.438  0.403
Ho  0.788  0.385  0.823
Er  0.091  0.674  0.761
Er  0.277  0.525  0.106
Er  0.326  0.087  0.417
Er  0.419  0.172  0.894
Er  0.475  0.581  0.753
Er  0.670  0.909  0.583
Er  0.828  0.723  0.247
Er  0.913  0.330  0.239

## Properties
DOS(E_F): 21.16 states/eV/cell
Space group: I-4



| no. | E (eV for the cell shown) |
| --- | --- |
| 1 | -26.4 |
| 2 | -100.7 |
| 3 | -25.1 |
| 4 | -21.1 |
| 5 | -61.6 |
| 6 | -60.6 |